SmZn3Rh2 after structural relaxation. Source: Alexandria, functional PBE-GGA.

Unit cell a=6.0820 b=6.0820 c=19.5638 alpha=90.00 beta=90.00 gamma=120.00
Space group R-3m (No. 166, hexagonal axes)
Unique sites:
Sm 0.0000 0.0000 0.2245 [6 per cell]
Zn 0.0179 0.5090 0.2330 [18 per cell]
Rh 0.0000 0.0000 0.0000 [3 per cell]
Rh 0.0000 0.5000 0.0000 [9 per cell]

Values from the calculation:
Formation energy from the elements = -290 meV/atom
Magnetization = 0.00 μB per cell